A plane-wave DFT calculation with PBE-GGA was carried out for Eu6Ag after structural relaxation.

Lattice parameters (Å, degrees): 8.1786 8.1786 8.1786 109.47 109.47 109.47
Last column: nearest neighbours and their distance in Å.
Fractional coordinates of all 7 atoms:
Eu (0.2500, 0.5000, 0.7500)  4 Eu 3.34
Eu (0.2500, 0.7500, 0.5000)  4 Eu 3.34
Eu (0.5000, 0.2500, 0.7500)  4 Eu 3.34
Eu (0.5000, 0.7500, 0.2500)  4 Eu 3.34
Eu (0.7500, 0.2500, 0.5000)  4 Eu 3.34
Eu (0.7500, 0.5000, 0.2500)  4 Eu 3.34
Ag (0.0000, 0.0000, 0.0000)  24 Eu 5.28

## Properties
As for the density of states at the Fermi level: 8.75 states/eV/cell. The energy of formation comes out at 1.229 eV/atom. The calculation puts the total energy at -7.9849 eV per atom. The calculation puts the total magnetic moment at 48.9 Bohr magnetons per cell. The space-group type is Im-3m (229). The calculated volume is 421 Å³/cell.


A plane-wave DFT calculation with PBE-GGA was carried out for Eu2Ag after structural relaxation.

Lattice parameters (Å, degrees): 3.8536 3.8536 7.1383 105.60 105.60 90.04
Last column: nearest neighbours and their distance in Å.
Fractional coordinates of all 3 atoms:
Eu (0.1401, 0.1401, 0.2803)  4 Ag 3.29
Eu (0.8599, 0.8599, 0.7197)  4 Ag 3.29
Ag (0.5000, 0.5000, 0.0000)  8 Eu 3.29

## Properties
As for the density of states at the Fermi level: 10.85 states/eV/cell. The energy of formation comes out at -0.206 eV/atom. The calculation puts the total energy at -8.0058 eV per atom. The calculation puts the total magnetic moment at 15.0 Bohr magnetons per cell. The space-group type is C2/m (12). The calculated volume is 98 Å³/cell.


A plane-wave DFT calculation with PBE-GGA was carried out for Eu2AgF after structural relaxation.

Lattice parameters (Å, degrees): 3.5451 3.5451 7.7881 90.00 90.00 90.00
Last column: nearest neighbours and their distance in Å.
Fractional coordinates of all 4 atoms:
Eu (0.0000, 0.0000, 0.2387)  4 F 3.12, 4 Ag 3.23
Eu (0.0000, 0.0000, 0.7613)  4 F 3.12, 4 Ag 3.23
Ag (0.5000, 0.5000, 0.5000)  8 Eu 3.23, 4 Ag 3.55
F (0.5000, 0.5000, 0.0000)  8 Eu 3.12

## Properties
As for the energy above the lowest structure with this stoichiometry: 0.173 eV per atom. As for the density of states at the Fermi level: 3.15 states/eV/cell. The calculation puts the total energy at -7.4668 eV per atom. The calculation puts the total magnetic moment at 14.8 Bohr magnetons per cell. The space-group type is P4/mmm (123). The calculated volume is 98 Å³/cell.